# 1
The following is a GGA-PBE calculation of BiAuCl2 after structural relaxation, from Alexandria via LeMat-Bulk.

Cell and atoms, written as CIF:
```
data_BiAuCl2
_chemical_formula_sum 'Bi3 Au3 Cl6'
_space_group_name_H-M_alt 'R -3 m'
_space_group_IT_number 166
_space_group_name_Hall '-R 3 2"'
_cell_length_a 3.6964
_cell_length_b 3.6964
_cell_length_c 26.9336
_cell_angle_alpha 90.00
_cell_angle_beta 90.00
_cell_angle_gamma 120.00
loop_
_atom_site_label
_atom_site_fract_x
_atom_site_fract_y
_atom_site_fract_z
_atom_site_occupancy
Bi1 0.0000 0.0000 0.0000 1
Au1 0.0000 0.0000 0.5000 1
Cl1 0.0000 0.0000 0.1017 1
```


# 2
The following is a GGA-PBE calculation of BiAuCl after structural relaxation, from Alexandria via LeMat-Bulk.

Cell and atoms, written as CIF:
```
data_BiAuCl
_chemical_formula_sum 'Bi2 Au2 Cl2'
_space_group_name_H-M_alt 'P -1'
_space_group_IT_number 2
_cell_length_a 3.903
_cell_length_b 4.074
_cell_length_c 12.214
_cell_angle_alpha 93.28
_cell_angle_beta 90.20
_cell_angle_gamma 118.61
loop_
_space_group_symop_operation_xyz
'x,y,z'
'-x,-y,-z'
loop_
_atom_site_label
_atom_site_fract_x
_atom_site_fract_y
_atom_site_fract_z
_atom_site_occupancy
Bi1 0.030 0.055 0.207 1
Au1 0.325 0.651 0.934 1
Cl1 0.343 0.678 0.359 1
```


# 3
The following is a GGA-PBE calculation of BiAuCl6 after structural relaxation, from Alexandria via LeMat-Bulk.

Cell and atoms, written as CIF:
```
data_BiAuCl6
_chemical_formula_sum 'Bi1 Au1 Cl6'
_space_group_name_H-M_alt 'P -1'
_space_group_IT_number 2
_cell_length_a 5.758
_cell_length_b 7.006
_cell_length_c 7.518
_cell_angle_alpha 67.55
_cell_angle_beta 70.37
_cell_angle_gamma 86.36
loop_
_space_group_symop_operation_xyz
'x,y,z'
'-x,-y,-z'
loop_
_atom_site_label
_atom_site_fract_x
_atom_site_fract_y
_atom_site_fract_z
_atom_site_occupancy
Bi1 0.000 0.000 0.000 1
Au1 0.500 0.500 0.000 1
Cl1 0.013 0.794 0.367 1
Cl2 0.288 0.382 0.838 1
Cl3 0.434 0.837 0.808 1
```


# 4
The following is a GGA-PBE calculation of BiAuCl2 after structural relaxation, from Alexandria via LeMat-Bulk.

Cell and atoms, written as CIF:
```
data_BiAuCl2
_chemical_formula_sum 'Bi4 Au4 Cl8'
_space_group_name_H-M_alt 'F m -3 m'
_space_group_IT_number 225
_space_group_name_Hall '-F 4 2 3'
_cell_length_a 7.169
_cell_length_b 7.169
_cell_length_c 7.169
_cell_angle_alpha 90.00
_cell_angle_beta 90.00
_cell_angle_gamma 90.00
loop_
_atom_site_label
_atom_site_fract_x
_atom_site_fract_y
_atom_site_fract_z
_atom_site_occupancy
Bi1 0.000 0.000 0.000 1
Au1 0.000 0.000 0.500 1
Cl1 0.250 0.250 0.250 1
```


# 5
The following is a GGA-PBE calculation of BiAuCl2 after structural relaxation, from Alexandria via LeMat-Bulk.

Cell and atoms, written as CIF:
```
data_BiAuCl2
_chemical_formula_sum 'Bi3 Au3 Cl6'
_space_group_name_H-M_alt 'R -3 m'
_space_group_IT_number 166
_space_group_name_Hall '-R 3 2"'
_cell_length_a 3.5434
_cell_length_b 3.5434
_cell_length_c 28.2727
_cell_angle_alpha 90.00
_cell_angle_beta 90.00
_cell_angle_gamma 120.00
loop_
_atom_site_label
_atom_site_fract_x
_atom_site_fract_y
_atom_site_fract_z
_atom_site_occupancy
Bi1 0.0000 0.0000 0.0000 1
Au1 0.0000 0.0000 0.5000 1
Cl1 0.0000 0.0000 0.4174 1
```


# 6
The following is a GGA-PBE calculation of Bi2AuCl2 after structural relaxation, from Alexandria via LeMat-Bulk.

Cell and atoms, written as CIF:
```
data_Bi2AuCl2
_chemical_formula_sum 'Bi4 Au2 Cl4'
_space_group_name_H-M_alt 'P 4/m b m'
_space_group_IT_number 127
_space_group_name_Hall '-P 4 2ab'
_cell_length_a 7.526
_cell_length_b 7.526
_cell_length_c 5.455
_cell_angle_alpha 90.00
_cell_angle_beta 90.00
_cell_angle_gamma 90.00
loop_
_atom_site_label
_atom_site_fract_x
_atom_site_fract_y
_atom_site_fract_z
_atom_site_occupancy
Bi1 0.151 0.349 0.000 1
Au1 0.000 0.000 0.000 1
Cl1 0.180 0.320 0.500 1
```


# 7
The following is a GGA-PBE calculation of Bi3AuCl after structural relaxation, from Alexandria via LeMat-Bulk.

Cell and atoms, written as CIF:
```
data_Bi3AuCl
_chemical_formula_sum 'Bi3 Au1 Cl1'
_space_group_name_H-M_alt 'P m -3 m'
_space_group_IT_number 221
_space_group_name_Hall '-P 4 2 3'
_cell_length_a 5.618
_cell_length_b 5.618
_cell_length_c 5.618
_cell_angle_alpha 90.00
_cell_angle_beta 90.00
_cell_angle_gamma 90.00
loop_
_atom_site_label
_atom_site_fract_x
_atom_site_fract_y
_atom_site_fract_z
_atom_site_occupancy
Bi1 0.000 0.000 0.500 1
Au1 0.000 0.000 0.000 1
Cl1 0.500 0.500 0.500 1
```


# 8
The following is a GGA-PBE calculation of Bi3AuCl after structural relaxation, from Alexandria via LeMat-Bulk.

Cell and atoms, written as CIF:
```
data_Bi3AuCl
_chemical_formula_sum 'Bi3 Au1 Cl1'
_space_group_name_H-M_alt 'P m -3 m'
_space_group_IT_number 221
_space_group_name_Hall '-P 4 2 3'
_cell_length_a 5.477
_cell_length_b 5.477
_cell_length_c 5.477
_cell_angle_alpha 90.00
_cell_angle_beta 90.00
_cell_angle_gamma 90.00
loop_
_atom_site_label
_atom_site_fract_x
_atom_site_fract_y
_atom_site_fract_z
_atom_site_occupancy
Bi1 0.000 0.000 0.500 1
Au1 0.500 0.500 0.500 1
Cl1 0.000 0.000 0.000 1
```


# 9
The following is a GGA-PBE calculation of CrBiAu2Cl after structural relaxation, from Alexandria via LeMat-Bulk.

Cell and atoms, written as CIF:
```
data_CrBiAu2Cl
_chemical_formula_sum 'Cr1 Bi1 Au2 Cl1'
_space_group_name_H-M_alt 'P 4/m m m'
_space_group_IT_number 123
_space_group_name_Hall '-P 4 2'
_cell_length_a 5.204
_cell_length_b 5.204
_cell_length_c 4.463
_cell_angle_alpha 90.00
_cell_angle_beta 90.00
_cell_angle_gamma 90.00
loop_
_atom_site_label
_atom_site_fract_x
_atom_site_fract_y
_atom_site_fract_z
_atom_site_occupancy
Cr1 0.000 0.000 0.000 1
Bi1 0.500 0.500 0.000 1
Au1 0.000 0.500 0.500 1
Cl1 0.000 0.000 0.500 1
```


# 10
The following is a GGA-PBE calculation of HgBiAu2Cl after structural relaxation, from Alexandria via LeMat-Bulk.

Cell and atoms, written as CIF:
```
data_HgBiAu2Cl
_chemical_formula_sum 'Hg1 Bi1 Au2 Cl1'
_space_group_name_H-M_alt 'P 4/m m m'
_space_group_IT_number 123
_space_group_name_Hall '-P 4 2'
_cell_length_a 4.839
_cell_length_b 4.839
_cell_length_c 6.041
_cell_angle_alpha 90.00
_cell_angle_beta 90.00
_cell_angle_gamma 90.00
loop_
_atom_site_label
_atom_site_fract_x
_atom_site_fract_y
_atom_site_fract_z
_atom_site_occupancy
Hg1 0.000 0.000 0.000 1
Bi1 0.500 0.500 0.000 1
Au1 0.000 0.500 0.500 1
Cl1 0.000 0.000 0.500 1
```


# 11
The following is a GGA-PBE calculation of K2BiAuCl6 after structural relaxation, from Alexandria via LeMat-Bulk.

Cell and atoms, written as CIF:
```
data_K2BiAuCl6
_chemical_formula_sum 'K2 Bi1 Au1 Cl6'
_space_group_name_H-M_alt 'P 1'
_space_group_IT_number 1
_cell_length_a 7.568
_cell_length_b 7.805
_cell_length_c 8.093
_cell_angle_alpha 115.63
_cell_angle_beta 92.09
_cell_angle_gamma 118.60
loop_
_space_group_symop_operation_xyz
'x,y,z'
loop_
_atom_site_label
_atom_site_fract_x
_atom_site_fract_y
_atom_site_fract_z
_atom_site_occupancy
K1 0.000 0.000 0.000 1
K2 0.492 0.951 0.440 1
Bi1 0.698 0.379 0.072 1
Au1 0.124 0.363 0.783 1
Cl1 0.040 0.476 0.278 1
Cl2 0.314 0.202 0.771 1
Cl3 0.465 0.256 0.278 1
Cl4 0.589 0.950 0.828 1
Cl5 0.795 0.812 0.262 1
Cl6 0.904 0.491 0.789 1
```


# 12
The following is a GGA-PBE calculation of K2BiAuCl6 after structural relaxation, from Alexandria via LeMat-Bulk.

Cell and atoms, written as CIF:
```
data_K2BiAuCl6
_chemical_formula_sum 'K8 Bi4 Au4 Cl24'
_space_group_name_H-M_alt 'F m -3 m'
_space_group_IT_number 225
_space_group_name_Hall '-F 4 2 3'
_cell_length_a 10.813
_cell_length_b 10.813
_cell_length_c 10.813
_cell_angle_alpha 90.00
_cell_angle_beta 90.00
_cell_angle_gamma 90.00
loop_
_atom_site_label
_atom_site_fract_x
_atom_site_fract_y
_atom_site_fract_z
_atom_site_occupancy
K1 0.250 0.250 0.250 1
Bi1 0.000 0.000 0.000 1
Au1 0.000 0.000 0.500 1
Cl1 0.000 0.000 0.251 1
```


Number 1: uncorrected formation energy -0.140 eV/atom. Number 2: uncorrected formation energy -0.338 eV/atom. Number 3: uncorrected formation energy -0.532 eV/atom. Number 4: uncorrected formation energy 0.062 eV/atom. Number 5: uncorrected formation energy -0.224 eV/atom. Number 6: uncorrected formation energy -0.402 eV/atom. Number 7: uncorrected formation energy 0.384 eV/atom. Number 8: uncorrected formation energy 0.794 eV/atom. Number 9: uncorrected formation energy 0.630 eV/atom. Number 10: uncorrected formation energy 0.595 eV/atom. Number 11: uncorrected formation energy -1.237 eV/atom. Number 12: uncorrected formation energy -1.141 eV/atom.